No. 1
{
  "formula": "La3SmGa4",
  "functional": "PBE",
  "state": "optimized geometry",
  "cell": [[-1.915, -2.894, 1.546], [2.221, -4.190, -5.092], [6.894, 1.441, 6.571]],
  "species": ["La", "Ga", "La", "Ga", "La", "Sm", "Ga", "Ga"],
  "fractional_positions": [[0.204, 0.204, 0.408], [0.373, 0.181, 0.745], [0.000, 0.500, 0.000], [0.627, 0.436, 0.255], [0.796, 0.796, 0.592], [0.500, 0.000, 0.000], [0.373, 0.564, 0.745], [0.627, 0.819, 0.255]],
  "sg": "Immm, No. 71",
  "relative_energy_mev_per_atom": 150,
  "e_form_mev_per_atom": -422,
  "dos_ef_per_ev_atom": 1.0423
}

***

No. 2
{
  "formula": "AlFeW2",
  "functional": "PBE",
  "state": "optimized geometry",
  "cell": [[-0.283, 0.528, 3.051], [2.719, -1.422, 0.498], [2.845, 5.217, -0.640]],
  "species": ["Fe", "W", "W", "Al"],
  "fractional_positions": [[0.500, 0.500, 0.750], [0.000, 0.000, 0.986], [0.500, 0.500, 0.249], [0.000, 0.000, 0.515]],
  "sg": "P4mm, No. 99",
  "e_form_mev_per_atom": 58,
  "dos_ef_per_ev_atom": 0.9934
}

***

No. 3
{
  "formula": "Tl2InS4",
  "functional": "PBE",
  "state": "optimized geometry",
  "cell": [[-2.737, -3.073, 6.941], [-6.505, -4.820, -0.009], [0.800, -7.916, 1.501]],
  "species": ["Tl", "In", "S", "S", "Tl", "Tl", "S", "Tl", "S", "In", "S", "S", "S", "S"],
  "fractional_positions": [[0.500, 0.000, 0.000], [0.000, 0.500, 0.000], [0.742, 0.728, 0.788], [0.258, 0.712, 0.772], [0.877, 0.873, 0.373], [0.123, 0.127, 0.627], [0.258, 0.272, 0.212], [0.500, 0.500, 0.500], [0.711, 0.268, 0.768], [0.500, 0.500, 0.000], [0.742, 0.288, 0.228], [0.289, 0.732, 0.232], [0.747, 0.732, 0.232], [0.253, 0.268, 0.768]],
  "sg": "Imma, No. 74",
  "dos_ef_per_ev_atom": 0.2989,
  "e_form_raw_ev_per_atom": -0.243
}

***

No. 4
{
  "formula": "SrPaMnN3",
  "functional": "PBE",
  "state": "optimized geometry",
  "cell": [[3.559, 0.000, 0.000], [0.000, 7.300, 0.747], [0.000, -2.070, 7.432]],
  "species": ["N", "Mn", "Pa", "Sr", "N", "N", "Pa", "N", "Mn", "N", "N", "Sr"],
  "fractional_positions": [[0.750, 0.439, 0.131], [0.750, 0.927, 0.406], [0.250, 0.654, 0.168], [0.750, 0.834, 0.806], [0.750, 0.154, 0.551], [0.250, 0.146, 0.851], [0.750, 0.346, 0.832], [0.250, 0.846, 0.449], [0.250, 0.073, 0.594], [0.250, 0.561, 0.869], [0.750, 0.854, 0.149], [0.250, 0.166, 0.194]],
  "sg": "P2_1/m, No. 11",
  "dos_ef_per_ev_atom": 0.2762,
  "e_form_raw_ev_per_atom": -1.031
}

***

No. 5
{
  "formula": "Ba2GaPd2",
  "functional": "PBE",
  "state": "optimized geometry",
  "cell": [[-3.030, 0.099, 3.373], [5.176, -4.266, 4.774], [4.815, 7.041, 1.071]],
  "species": ["Ba", "Pd", "Ba", "Ga", "Pd", "Ga", "Pd", "Ba", "Pd", "Ba"],
  "fractional_positions": [[0.957, 0.773, 0.915], [0.554, 0.584, 0.107], [0.213, 0.624, 0.425], [0.592, 0.911, 0.183], [0.154, 0.974, 0.308], [0.408, 0.411, 0.817], [0.446, 0.084, 0.893], [0.043, 0.273, 0.085], [0.846, 0.474, 0.692], [0.787, 0.124, 0.575]],
  "sg": "Cmc2_1, No. 36",
  "e_form_mev_per_atom": -536,
  "dos_ef_per_ev_atom": 0.6671
}

***

No. 6
{
  "formula": "CeNdTh",
  "functional": "PBE",
  "state": "optimized geometry",
  "cell": [[-0.947, -1.726, -3.583], [-1.235, -3.374, 1.952], [-10.586, 7.290, 1.619]],
  "species": ["Ce", "Ce", "Nd", "Th", "Nd", "Th"],
  "fractional_positions": [[0.845, 0.845, 0.691], [0.155, 0.155, 0.309], [0.428, 0.428, 0.856], [0.713, 0.713, 0.426], [0.572, 0.572, 0.144], [0.287, 0.287, 0.574]],
  "sg": "I4/mmm, No. 139",
  "relative_energy_mev_per_atom": 256,
  "e_form_mev_per_atom": 302,
  "dos_ef_per_ev_atom": 1.9375
}

***

no.,M_tot (μB/f.u.),ρ (g/cm³),uncorrected energy (eV for the cell shown)
1,0.0,6.05,-35.0
2,0.8,12.95,-37.9
3,0.0,5.79,-51.4
4,1.0,6.95,-103.0
5,0.0,5.98,-39.9
6,0.0,8.12,-34.4